(1)
# Pr5Sm4Mg

A relaxed structure of Pr5Sm4Mg (PBE, Alexandria via LeMat-Bulk).

Its magnetic moment is 0.00 Bohr magnetons per cell. The energy of formation is 0.079 eV/atom. Its space group is P4/mmm. For the total energy, the calculation gives -4.3574 eV per atom.

Cell: 4.2536 4.2536 18.8420 Å, 90.00 90.00 90.00°
Fractional positions:
Pr  0.0000  0.0000  0.0000
Pr  0.0000  0.0000  0.2001
Pr  0.0000  0.0000  0.4062
Pr  0.0000  0.0000  0.5938
Pr  0.0000  0.0000  0.7999
Sm  0.5000  0.5000  0.1010
Sm  0.5000  0.5000  0.2987
Sm  0.5000  0.5000  0.7013
Sm  0.5000  0.5000  0.8990
Mg  0.5000  0.5000  0.5000

---

(2)
# Pr4Sm5Mg2

A relaxed structure of Pr4Sm5Mg2 (PBE, Alexandria via LeMat-Bulk).

Its magnetic moment is 0.00 Bohr magnetons per cell. For the energy relative to the lowest polymorph listed for this composition, the calculation gives 0.012 eV per atom. The energy of formation is 0.066 eV/atom. Its space group is P2/m. For the total energy, the calculation gives -4.1074 eV per atom.

Cell: 8.8833 3.5151 11.6842 Å, 90.00 94.15 90.00°
Fractional positions:
Pr  0.1476  0.0000  0.3853
Pr  0.2837  0.0000  0.9521
Pr  0.7163  0.0000  0.0479
Pr  0.8524  0.0000  0.6147
Sm  0.2057  0.5000  0.6687
Sm  0.4292  0.5000  0.2070
Sm  0.5000  0.5000  0.5000
Sm  0.5708  0.5000  0.7930
Sm  0.7943  0.5000  0.3313
Mg  0.0522  0.5000  0.1312
Mg  0.9478  0.5000  0.8688

---

(3)
# PrSm14Mg

A relaxed structure of PrSm14Mg (PBE, Alexandria via LeMat-Bulk).

Its magnetic moment is 0.00 Bohr magnetons per cell. The energy of formation is 0.011 eV/atom. Its space group is Amm2. For the total energy, the calculation gives -4.5163 eV per atom.

Cell: 10.2299 7.2065 7.2065 Å, 90.00 90.00 90.00°
Fractional positions:
Pr  0.0000  0.0000  0.0000
Sm  0.0000  0.5003  0.9994
Sm  0.0000  0.9994  0.5003
Sm  0.2483  0.2509  0.2509
Sm  0.2487  0.2509  0.7493
Sm  0.2487  0.7493  0.2509
Sm  0.2490  0.7493  0.7493
Sm  0.5000  0.0002  0.0002
Sm  0.5000  0.0003  0.5000
Sm  0.5000  0.5000  0.0003
Sm  0.5000  0.5000  0.5000
Sm  0.7513  0.2509  0.7493
Sm  0.7513  0.7493  0.2509
Sm  0.7510  0.7493  0.7493
Sm  0.7517  0.2509  0.2509
Mg  0.0000  0.4992  0.4992

---

(4)
# Pr2Sm7Mg

A relaxed structure of Pr2Sm7Mg (PBE, Alexandria via LeMat-Bulk).

Its magnetic moment is 0.00 Bohr magnetons per cell. The energy of formation is 0.605 eV/atom. Its space group is Cmmm. For the total energy, the calculation gives -3.8135 eV per atom.

Cell: 9.4008 9.4008 5.4634 Å, 90.00 90.00 124.80°
Fractional positions:
Pr  0.2066  0.7934  0.0000
Pr  0.7934  0.2066  0.0000
Sm  0.0000  0.0000  0.0000
Sm  0.2156  0.4281  0.0000
Sm  0.2883  0.7117  0.5000
Sm  0.4281  0.2156  0.0000
Sm  0.5719  0.7844  0.0000
Sm  0.7117  0.2883  0.5000
Sm  0.7844  0.5719  0.0000
Mg  0.5000  0.5000  0.5000